First-principles (GGA-PBEsol) data for a relaxed structure of Sc5Sn3, as listed in Alexandria.

The magnetization comes out at 0.00 μB per formula unit. The space group is P6_3/mcm (193). As for the uncorrected energy: -6.468 eV/atom.

a b c (Å): 8.3353 8.3353 5.9956
angles (deg): 90.00 90.00 120.00
Sites, in units of the cell vectors:
Sc 0.0000 0.2359 0.2500
Sc 0.0000 0.7641 0.7500
Sc 0.2359 0.0000 0.2500
Sc 0.2359 0.2359 0.7500
Sc 0.3333 0.6667 0.0000
Sc 0.3333 0.6667 0.5000
Sc 0.6667 0.3333 0.0000
Sc 0.6667 0.3333 0.5000
Sc 0.7641 0.0000 0.7500
Sc 0.7641 0.7641 0.2500
Sn 0.0000 0.3952 0.7500
Sn 0.0000 0.6048 0.2500
Sn 0.3952 0.0000 0.7500
Sn 0.3952 0.3952 0.2500
Sn 0.6048 0.0000 0.2500
Sn 0.6048 0.6048 0.7500

=====

First-principles (GGA-PBEsol) data for a relaxed structure of AlCuTc2, as listed in Alexandria.

The magnetization comes out at 0.00 μB per formula unit. The space group is C2/m (12). As for the uncorrected energy: -7.696 eV/atom.

a b c (Å): 4.8853 4.8853 2.6104
angles (deg): 97.96 97.96 116.62
Sites, in units of the cell vectors:
Al 0.0000 0.0000 0.0000
Cu 0.5000 0.5000 0.0000
Tc 0.0000 0.5000 0.5000
Tc 0.5000 0.0000 0.5000

=====

First-principles (GGA-PBEsol) data for a relaxed structure of YAlTc2, as listed in Alexandria.

The magnetization comes out at 0.00 μB per formula unit. The space group is P4/mmm (123). As for the uncorrected energy: -8.416 eV/atom.

a b c (Å): 3.3585 3.3585 6.1711
angles (deg): 90.00 90.00 90.00
Sites, in units of the cell vectors:
Y 0.0000 0.0000 0.0000
Al 0.0000 0.0000 0.5000
Tc 0.5000 0.5000 0.3092
Tc 0.5000 0.5000 0.6908

=====

First-principles (GGA-PBEsol) data for a relaxed structure of Ca2YSc, as listed in Alexandria.

The magnetization comes out at 0.00 μB per formula unit. Its energy above the most stable polymorph in this dataset is 0.161 eV per atom. The space group is P4/mmm (123).

a b c (Å): 5.5834 5.5834 4.1103
angles (deg): 90.00 90.00 90.00
Sites, in units of the cell vectors:
Ca 0.0000 0.5000 0.0000
Ca 0.5000 0.0000 0.0000
Y 0.0000 0.0000 0.5000
Sc 0.5000 0.5000 0.5000

=====

First-principles (GGA-PBEsol) data for a relaxed structure of TeRu, as listed in Alexandria.

The magnetization comes out at 0.00 μB per formula unit. The space group is Cm (8). Its uncorrected formation energy is 0.141 eV per atom.

a b c (Å): 4.6791 4.6791 7.5495
angles (deg): 107.53 107.53 47.36
Sites, in units of the cell vectors:
Te 0.0000 0.0000 0.0000
Te 0.6185 0.6185 0.6661
Te 0.8174 0.8174 0.3621
Ru 0.1194 0.1194 0.3832
Ru 0.3213 0.3213 0.1328
Ru 0.3472 0.3472 0.7635

=====

First-principles (GGA-PBEsol) data for a relaxed structure of CrIr2Rh, as listed in Alexandria.

The magnetization comes out at 1.02 μB per formula unit. The space group is Cmmm (65). As for the uncorrected energy: -9.621 eV/atom.

a b c (Å): 4.5837 4.5837 2.6777
angles (deg): 90.00 90.00 108.94
Sites, in units of the cell vectors:
Cr 0.0000 0.0000 0.0000
Ir 0.0000 0.5000 0.5000
Ir 0.5000 0.0000 0.5000
Rh 0.5000 0.5000 0.0000

=====

Among the records above, which one has the highest magnetization? CrIr2Rh

=====

Look up the magnetization of the sixth one. 1.02 μB per formula unit